No. 1
BeFeOs2, relaxed, DFT PBEsol; uncorrected energy = -9.06 eV per atom; ΔH_f (0 K) = 0.29 eV per atom; calculated density = 15.06 Mg/m³; N(E_F) = 3.95 states/eV/f.u.
1.0
-0.513 1.921 -2.014
-2.171 -2.684 -2.007
-3.560 1.285 2.132
Be Os Fe
1 2 1
Direct
0.500 0.500 0.000 Be
0.000 0.000 0.000 Os
0.500 0.000 0.500 Os
0.000 0.500 0.500 Fe

=====

No. 2
Be2FeP, relaxed, DFT PBEsol; uncorrected energy = -5.91 eV per atom; ΔH_f (0 K) = -0.22 eV per atom; calculated density = 4.85 Mg/m³; N(E_F) = 2.11 states/eV/f.u.
1.0
3.334 0.000 0.000
0.000 3.275 0.633
0.000 -0.613 3.171
P Fe Be
1 1 2
Direct
0.000 0.500 0.500 P
0.500 0.000 0.500 Fe
0.000 0.000 0.000 Be
0.500 0.500 0.000 Be

=====

No. 3
BeFeP3, relaxed, DFT PBEsol; uncorrected energy = -5.17 eV per atom; ΔH_f (0 K) = 0.90 eV per atom; calculated density = 3.67 Mg/m³; N(E_F) = 4.89 states/eV/f.u.
1.0
-1.605 2.364 -3.005
1.200 -2.783 -2.830
-3.630 -1.965 0.393
P Fe Be
3 1 1
Direct
0.000 0.500 0.000 P
0.000 0.000 0.500 P
0.500 0.000 0.000 P
0.500 0.500 0.500 Fe
0.000 0.000 0.000 Be

=====

No. 4
Be2FeP, relaxed, DFT PBEsol; uncorrected energy = -5.92 eV per atom; ΔH_f (0 K) = -0.23 eV per atom; calculated density = 4.70 Mg/m³; N(E_F) = 1.32 states/eV/f.u.
1.0
2.843 0.000 0.000
0.000 2.843 0.000
0.000 0.000 4.584
P Fe Be
1 1 2
Direct
0.500 0.500 0.743 P
0.000 0.000 0.513 Fe
0.000 0.000 0.012 Be
0.500 0.500 0.232 Be

=====

No. 5
Be3FePb, relaxed, DFT PBEsol; uncorrected energy = -4.31 eV per atom; ΔH_f (0 K) = 0.69 eV per atom; calculated density = 6.95 Mg/m³; N(E_F) = 2.41 states/eV/f.u.
1.0
4.108 0.000 0.000
0.000 4.108 0.000
0.000 0.000 4.108
Pb Be Fe
1 3 1
Direct
0.500 0.500 0.500 Pb
0.000 0.500 0.000 Be
0.000 0.000 0.500 Be
0.500 0.000 0.000 Be
0.000 0.000 0.000 Fe

=====

No. 6
BeFePb2, relaxed, DFT PBEsol; uncorrected energy = -4.51 eV per atom; ΔH_f (0 K) = 0.73 eV per atom; calculated density = 10.57 Mg/m³; N(E_F) = 2.39 states/eV/f.u.
1.0
-2.858 -1.985 0.119
0.401 -0.779 -3.369
3.476 -4.912 1.549
Pb Be Fe
2 1 1
Direct
0.000 0.000 0.749 Pb
0.000 0.000 0.251 Pb
0.500 0.500 0.000 Be
0.500 0.500 0.500 Fe

=====

No. 7
BeFePb3, relaxed, DFT PBEsol; uncorrected energy = -4.23 eV per atom; ΔH_f (0 K) = 0.76 eV per atom; calculated density = 8.94 Mg/m³; N(E_F) = 2.09 states/eV/f.u.
1.0
5.034 0.000 0.000
0.000 5.034 0.000
0.000 0.000 5.034
Pb Be Fe
3 1 1
Direct
0.000 0.500 0.000 Pb
0.000 0.000 0.500 Pb
0.500 0.000 0.000 Pb
0.500 0.500 0.500 Be
0.000 0.000 0.000 Fe

=====

No. 8
BeFe2Pb, relaxed, DFT PBEsol; energy above the lowest structure with this stoichiometry = 0 meV per atom; uncorrected energy = -6.05 eV per atom; ΔH_f (0 K) = 0.43 eV per atom; calculated density = 9.83 Mg/m³; N(E_F) = 2.99 states/eV/f.u.
1.0
-0.107 -2.971 0.067
0.530 -0.085 -2.925
6.156 -0.197 1.120
Pb Be Fe
1 1 2
Direct
0.500 0.500 0.000 Pb
0.500 0.500 0.500 Be
0.000 0.000 0.676 Fe
0.000 0.000 0.324 Fe

=====

No. 9
Be2FePb, relaxed, DFT PBEsol; uncorrected energy = -4.71 eV per atom; ΔH_f (0 K) = 0.53 eV per atom; calculated density = 9.31 Mg/m³; N(E_F) = 1.51 states/eV/f.u.
1.0
3.633 0.000 0.000
0.000 3.637 0.000
-1.817 -1.818 3.794
Pb Be Fe
1 2 1
Direct
0.000 0.500 0.000 Pb
0.750 0.750 0.500 Be
0.250 0.250 0.500 Be
0.500 0.000 0.000 Fe

=====

No. 10
BeFePb2, relaxed, DFT PBEsol; uncorrected energy = -4.86 eV per atom; ΔH_f (0 K) = 0.38 eV per atom; calculated density = 10.26 Mg/m³; N(E_F) = 3.02 states/eV/f.u.
1.0
3.088 0.029 0.000
-0.030 3.088 0.000
0.000 0.000 8.135
Pb Be Fe
2 1 1
Direct
0.000 0.000 0.082 Pb
0.500 0.500 0.674 Pb
0.000 0.000 0.412 Be
0.500 0.500 0.331 Fe

=====

No. 11
BeFe2Pb, relaxed, DFT PBEsol; energy above the lowest structure with this stoichiometry = 67 meV per atom; uncorrected energy = -5.98 eV per atom; ΔH_f (0 K) = 0.50 eV per atom; calculated density = 9.65 Mg/m³; N(E_F) = 2.92 states/eV/f.u.
1.0
2.894 0.000 0.005
0.000 3.712 0.000
-0.986 0.000 5.252
Pb Be Fe
1 1 2
Direct
0.500 0.500 0.000 Pb
0.500 0.500 0.500 Be
0.843 0.000 0.678 Fe
0.157 0.000 0.322 Fe

=====

No. 12
Be2FePb, relaxed, DFT PBEsol; uncorrected energy = -4.69 eV per atom; ΔH_f (0 K) = 0.55 eV per atom; calculated density = 9.16 Mg/m³; N(E_F) = 2.69 states/eV/f.u.
1.0
-0.364 -1.864 -2.979
2.241 -2.715 1.424
-3.041 -1.743 1.462
Pb Be Fe
1 2 1
Direct
0.500 0.000 0.000 Pb
0.000 0.000 0.500 Be
0.000 0.500 0.000 Be
0.500 0.500 0.500 Fe

=====

No. 13
BeFe2Pb, relaxed, DFT PBEsol; energy above the lowest structure with this stoichiometry = 67 meV per atom; uncorrected energy = -5.98 eV per atom; ΔH_f (0 K) = 0.50 eV per atom; calculated density = 10.23 Mg/m³; N(E_F) = 3.95 states/eV/f.u.
1.0
-3.080 1.946 -0.547
-1.676 -1.901 2.674
1.204 2.644 2.634
Pb Be Fe
1 1 2
Direct
0.500 0.500 0.500 Pb
0.000 0.000 0.500 Be
0.000 0.500 0.000 Fe
0.500 0.000 0.000 Fe

=====

No. 14
Be2FePb, relaxed, DFT PBEsol; uncorrected energy = -4.81 eV per atom; ΔH_f (0 K) = 0.43 eV per atom; calculated density = 8.76 Mg/m³; N(E_F) = 2.09 states/eV/f.u.
1.0
-2.289 1.659 1.600
2.080 -2.740 2.519
2.528 3.477 0.010
Pb Be Fe
1 2 1
Direct
0.500 0.000 0.000 Pb
0.716 0.431 0.613 Be
0.284 0.569 0.387 Be
0.000 0.000 0.500 Fe

=====

No. 15
BeFe3Pd, relaxed, DFT PBEsol; uncorrected energy = -6.85 eV per atom; ΔH_f (0 K) = 0.52 eV per atom; calculated density = 7.97 Mg/m³; N(E_F) = 3.53 states/eV/f.u.
1.0
3.892 0.000 0.000
0.000 3.892 0.000
0.000 0.000 3.892
Be Fe Pd
1 3 1
Direct
0.000 0.000 0.000 Be
0.000 0.500 0.000 Fe
0.000 0.000 0.500 Fe
0.500 0.000 0.000 Fe
0.500 0.500 0.500 Pd

=====

No. 16
Be3FePd, relaxed, DFT PBEsol; uncorrected energy = -4.76 eV per atom; ΔH_f (0 K) = 0.62 eV per atom; calculated density = 5.61 Mg/m³; N(E_F) = 2.87 states/eV/f.u.
1.0
3.826 0.000 0.000
0.000 3.826 0.000
0.000 0.000 3.826
Be Fe Pd
3 1 1
Direct
0.000 0.500 0.000 Be
0.000 0.000 0.500 Be
0.500 0.000 0.000 Be
0.000 0.000 0.000 Fe
0.500 0.500 0.500 Pd

=====

No. 17
BeFePt2, relaxed, DFT PBEsol; uncorrected energy = -7.07 eV per atom; ΔH_f (0 K) = -0.35 eV per atom; calculated density = 14.89 Mg/m³; N(E_F) = 2.35 states/eV/f.u.
1.0
-1.169 -1.477 3.378
-1.789 -2.871 -1.874
4.306 0.307 -0.590
Be Fe Pt
1 1 2
Direct
0.000 0.000 0.000 Be
0.500 0.500 0.000 Fe
0.750 0.250 0.500 Pt
0.250 0.750 0.500 Pt

=====

No. 18
Be3FePt, relaxed, DFT PBEsol; uncorrected energy = -4.96 eV per atom; ΔH_f (0 K) = 0.62 eV per atom; calculated density = 6.43 Mg/m³; N(E_F) = 3.99 states/eV/f.u.
1.0
-1.896 -3.320 -1.630
3.217 -0.577 -2.568
1.825 -2.433 2.833
Be Fe Pt
3 1 1
Direct
0.000 0.500 0.000 Be
0.000 0.000 0.500 Be
0.500 0.000 0.000 Be
0.500 0.500 0.500 Fe
0.000 0.000 0.000 Pt

=====

No. 19
BeFePt2, relaxed, DFT PBEsol; uncorrected energy = -7.03 eV per atom; ΔH_f (0 K) = -0.30 eV per atom; calculated density = 15.46 Mg/m³; N(E_F) = 2.21 states/eV/f.u.
1.0
2.710 0.000 0.000
0.000 2.710 0.000
0.000 0.000 6.653
Be Fe Pt
1 1 2
Direct
0.000 0.000 0.505 Be
0.500 0.500 0.715 Fe
0.000 0.000 0.980 Pt
0.500 0.500 0.301 Pt

=====

No. 20
BeFePt2, relaxed, DFT PBEsol; uncorrected energy = -7.22 eV per atom; ΔH_f (0 K) = -0.49 eV per atom; calculated density = 15.35 Mg/m³; N(E_F) = 1.47 states/eV/f.u.
1.0
-1.420 -1.069 -2.071
-1.914 -0.849 1.750
-3.220 5.724 -0.746
Be Fe Pt
1 1 2
Direct
0.500 0.500 0.000 Be
0.500 0.500 0.500 Fe
0.000 0.000 0.778 Pt
0.000 0.000 0.222 Pt